Record 1
VASP calculation (PBE-GGA) on crystalline TbNdSi2Ni2 at its relaxed geometry.

Unit cell a=3.9954 b=3.9954 c=8.2647 alpha=90.00 beta=90.00 gamma=120.00
With the nearest neighbours (Å) after each atom.
Space group P-3m1 (No. 164)
Asymmetric unit:
Tb (0.0000, 0.0000, 0.0000) [1 per cell]  6 Ni 3.04, 6 Si 3.06
Nd (0.0000, 0.0000, 0.5000) [1 per cell]  6 Si 3.13, 6 Ni 3.15
Si (0.3333, 0.6667, 0.7568) [2 per cell]  3 Ni 2.31
Ni (0.3333, 0.6667, 0.2398) [2 per cell]  3 Si 2.31

Properties
* crystal system: trigonal
* electronic total energy: -36.31 eV for the cell shown
* formation energy without anion corrections: -0.750 eV/atom

Record 2
VASP calculation (PBE-GGA) on crystalline MoAs2Au at its relaxed geometry.

Unit cell a=9.5336 b=3.3881 c=4.4610 alpha=90.00 beta=103.78 gamma=90.00
With the nearest neighbours (Å) after each atom.
Space group Cm (No. 8)
Asymmetric unit:
Mo (0.0000, 0.0000, 0.0000) [2 per cell]  5 As 2.62-2.87
As (0.0247, 0.5000, 0.4618) [2 per cell]  1 Au 2.53, 2 Mo 2.63
As (0.2845, 0.0000, 0.8877) [2 per cell]  3 Mo 2.62-2.87, 4 Au 2.75-2.85
Au (0.2763, 0.5000, 0.3695) [2 per cell]  3 As 2.53-2.75

Properties
* crystal system: monoclinic
* electronic total energy: -45.62 eV for the cell shown
* calculated formation energy: 150 meV per atom

Record 3
VASP calculation (PBE-GGA) on crystalline HfZr2HRh at its relaxed geometry.

Unit cell a=4.2132 b=4.2132 c=4.6466 alpha=90.00 beta=90.00 gamma=90.00
With the nearest neighbours (Å) after each atom.
Space group P4/mmm (No. 123)
Asymmetric unit:
Hf (0.0000, 0.0000, 0.0000) [1 per cell]  2 H 2.32
Zr (0.0000, 0.5000, 0.5000) [2 per cell]  2 H 2.11
H (0.0000, 0.0000, 0.5000) [1 per cell]  4 Zr 2.11, 2 Hf 2.32
Rh (0.5000, 0.5000, 0.0000) [1 per cell]  4 Hf 2.98, 8 Zr 3.14

Properties
* crystal system: tetragonal
* electronic total energy: -39.17 eV for the cell shown

Record 4
VASP calculation (PBE-GGA) on crystalline KCoAu2 at its relaxed geometry.

Unit cell a=2.8094 b=5.5324 c=10.8708 alpha=90.00 beta=90.00 gamma=90.00
With the nearest neighbours (Å) after each atom.
Space group Immm (No. 71)
Asymmetric unit:
K (0.0000, 0.0000, 0.0000) [2 per cell]  2 K 2.81, 4 Co 3.10
Co (0.0000, 0.0000, 0.5000) [2 per cell]  4 Au 2.59, 2 Co 2.81
Au (0.0000, 0.5000, 0.2003) [4 per cell]  2 Co 2.59, 2 Au 2.81

Properties
* crystal system: orthorhombic
* electronic total energy: -26.66 eV for the cell shown
* calculated formation energy: 357 meV per atom

What is the electronic total energy in the fourth record?
-26.66 eV for the cell shown

Please write out number 4 again, unchanged.
VASP calculation (PBE-GGA) on crystalline KCoAu2 at its relaxed geometry.

Unit cell a=2.8094 b=5.5324 c=10.8708 alpha=90.00 beta=90.00 gamma=90.00
With the nearest neighbours (Å) after each atom.
Space group Immm (No. 71)
Asymmetric unit:
K (0.0000, 0.0000, 0.0000) [2 per cell]  2 K 2.81, 4 Co 3.10
Co (0.0000, 0.0000, 0.5000) [2 per cell]  4 Au 2.59, 2 Co 2.81
Au (0.0000, 0.5000, 0.2003) [4 per cell]  2 Co 2.59, 2 Au 2.81

Properties
* crystal system: orthorhombic
* electronic total energy: -26.66 eV for the cell shown
* calculated formation energy: 357 meV per atom